Record 1
This record from Alexandria describes a relaxed structure of CdCo4Rh. The functional is PBE-GGA.

Cell lengths 4.807, 4.807, 4.807 Å; angles 60.00, 60.00, 60.00 degrees
Positions (direct):
Cd 0.000 0.000 0.000
Co 0.125 0.625 0.625
Co 0.625 0.125 0.625
Co 0.625 0.625 0.125
Co 0.625 0.625 0.625
Rh 0.250 0.250 0.250

Computed properties:
crystal system = cubic
DOS at the Fermi energy = 1.21 states/eV/atom
M_tot = 1.306 μB/atom
electronic total energy = -5.976 eV/atom
energy relative to the elements = 0.139 eV per atom



Record 2
This record from Alexandria describes a relaxed structure of CdCo3Rh. The functional is PBE-GGA.

Cell lengths 4.554, 4.554, 4.554 Å; angles 90.00, 90.00, 90.00 degrees
Positions (direct):
Cd 0.000 0.000 0.000
Co 0.000 0.500 0.500
Co 0.500 0.000 0.500
Co 0.500 0.500 0.000
Rh 0.500 0.500 0.500

Computed properties:
crystal system = cubic
DOS at the Fermi energy = 0.98 states/eV/atom
M_tot = 1.310 μB/atom
electronic total energy = -4.761 eV/atom
energy relative to the elements = 1.155 eV per atom



Record 3
This record from Alexandria describes a relaxed structure of Cd2CoRhS. The functional is PBE-GGA.

Cell lengths 5.123, 5.123, 4.535 Å; angles 90.00, 90.00, 90.00 degrees
Positions (direct):
Cd 0.000 0.500 0.000
Cd 0.500 0.000 0.000
Co 0.000 0.000 0.500
Rh 0.000 0.000 0.000
S 0.500 0.500 0.500

Computed properties:
crystal system = tetragonal
DOS at the Fermi energy = 0.61 states/eV/atom
M_tot = 0.513 μB/atom
electronic total energy = -3.306 eV/atom
energy relative to the elements, uncorrected = 17.9 kcal/mol of atoms



Record 4
This record from Alexandria describes a relaxed structure of CdCoSbRh2. The functional is PBE-GGA.

Cell lengths 4.918, 4.918, 5.134 Å; angles 90.00, 90.00, 90.00 degrees
Positions (direct):
Cd 0.000 0.000 0.000
Co 0.500 0.500 0.500
Sb 0.000 0.000 0.500
Rh 0.000 0.500 0.000
Rh 0.500 0.000 0.000

Computed properties:
crystal system = tetragonal
DOS at the Fermi energy = 1.59 states/eV/atom
M_tot = 0.648 μB/atom
electronic total energy = -3.634 eV/atom
energy relative to the elements, uncorrected = 40.0 kcal/mol of atoms



Record 5
This record from Alexandria describes a relaxed structure of ScCdCoRh. The functional is PBE-GGA.

Cell lengths 6.351, 6.351, 6.351 Å; angles 90.00, 90.00, 90.00 degrees
Positions (direct):
Sc 0.000 0.000 0.000
Sc 0.000 0.500 0.500
Sc 0.500 0.000 0.500
Sc 0.500 0.500 0.000
Cd 0.000 0.000 0.500
Cd 0.000 0.500 0.000
Cd 0.500 0.000 0.000
Cd 0.500 0.500 0.500
Co 0.250 0.250 0.750
Co 0.250 0.750 0.250
Co 0.750 0.250 0.250
Co 0.750 0.750 0.750
Rh 0.250 0.250 0.250
Rh 0.250 0.750 0.750
Rh 0.750 0.250 0.750
Rh 0.750 0.750 0.250

Computed properties:
crystal system = cubic
DOS at the Fermi energy = 1.28 states/eV/atom
M_tot = 0.116 μB/atom
electronic total energy = -5.716 eV/atom
energy relative to the elements = -0.290 eV per atom



Record 6
This record from Alexandria describes a relaxed structure of TaCdCoRh. The functional is PBE-GGA.

Cell lengths 6.272, 6.272, 6.272 Å; angles 90.00, 90.00, 90.00 degrees
Positions (direct):
Ta 0.000 0.000 0.000
Ta 0.000 0.500 0.500
Ta 0.500 0.000 0.500
Ta 0.500 0.500 0.000
Cd 0.000 0.000 0.500
Cd 0.000 0.500 0.000
Cd 0.500 0.000 0.000
Cd 0.500 0.500 0.500
Co 0.250 0.250 0.250
Co 0.250 0.750 0.750
Co 0.750 0.250 0.750
Co 0.750 0.750 0.250
Rh 0.250 0.250 0.750
Rh 0.250 0.750 0.250
Rh 0.750 0.250 0.250
Rh 0.750 0.750 0.750

Computed properties:
crystal system = cubic
DOS at the Fermi energy = 0.62 states/eV/atom
M_tot = 0.225 μB/atom
electronic total energy = -6.923 eV/atom
energy relative to the elements = -0.117 eV per atom



Record 7
This record from Alexandria describes a relaxed structure of ZnCdCo2Rh. The functional is PBE-GGA.

Cell lengths 4.595, 4.595, 4.719 Å; angles 90.00, 90.00, 90.00 degrees
Positions (direct):
Zn 0.000 0.000 0.000
Cd 0.500 0.500 0.000
Co 0.000 0.500 0.500
Co 0.500 0.000 0.500
Rh 0.000 0.000 0.500

Computed properties:
crystal system = tetragonal
DOS at the Fermi energy = 1.34 states/eV/atom
M_tot = 0.905 μB/atom
electronic total energy = -3.871 eV/atom
energy relative to the elements = 0.879 eV per atom



Record 8
This record from Alexandria describes a relaxed structure of CdCoRu2. The functional is PBE-GGA.

Cell lengths 3.827, 3.827, 3.994 Å; angles 90.00, 90.00, 90.00 degrees
Positions (direct):
Cd 0.000 0.000 0.000
Co 0.500 0.500 0.000
Ru 0.000 0.500 0.500
Ru 0.500 0.000 0.500

Computed properties:
crystal system = tetragonal
DOS at the Fermi energy = 1.96 states/eV/atom
M_tot = 0.558 μB/atom
electronic total energy = -6.106 eV/atom
energy relative to the elements = 0.537 eV per atom



Record 9
This record from Alexandria describes a relaxed structure of CdCoRu2. The functional is PBE-GGA.

Cell lengths 6.197, 6.197, 6.197 Å; angles 90.00, 90.00, 90.00 degrees
Positions (direct):
Cd 0.000 0.000 0.000
Cd 0.000 0.500 0.500
Cd 0.500 0.000 0.500
Cd 0.500 0.500 0.000
Co 0.250 0.250 0.750
Co 0.250 0.750 0.250
Co 0.750 0.250 0.250
Co 0.750 0.750 0.750
Ru 0.000 0.000 0.500
Ru 0.000 0.500 0.000
Ru 0.250 0.250 0.250
Ru 0.250 0.750 0.750
Ru 0.500 0.000 0.000
Ru 0.500 0.500 0.500
Ru 0.750 0.250 0.750
Ru 0.750 0.750 0.250

Computed properties:
crystal system = cubic
DOS at the Fermi energy = 1.31 states/eV/atom
M_tot = 0.744 μB/atom
electronic total energy = -6.137 eV/atom
energy relative to the elements = 0.506 eV per atom



Record 10
This record from Alexandria describes a relaxed structure of CdCo2Ru2. The functional is PBE-GGA.

Cell lengths 7.235, 7.235, 2.703 Å; angles 90.00, 90.00, 90.00 degrees
Positions (direct):
Cd 0.000 0.000 0.000
Cd 0.500 0.500 0.000
Co 0.122 0.378 0.000
Co 0.378 0.878 0.000
Co 0.622 0.122 0.000
Co 0.878 0.622 0.000
Ru 0.168 0.668 0.500
Ru 0.332 0.168 0.500
Ru 0.668 0.832 0.500
Ru 0.832 0.332 0.500

Computed properties:
crystal system = tetragonal
DOS at the Fermi energy = 1.16 states/eV/atom
M_tot = 0.766 μB/atom
electronic total energy = -6.416 eV/atom
energy relative to the elements = 0.320 eV per atom



Record 11
This record from Alexandria describes a relaxed structure of CdCoRu2. The functional is PBE-GGA.

Cell lengths 2.768, 2.768, 7.613 Å; angles 90.00, 90.00, 90.00 degrees
Positions (direct):
Cd 0.000 0.000 0.000
Co 0.500 0.500 0.264
Ru 0.000 0.000 0.481
Ru 0.500 0.500 0.712

Computed properties:
crystal system = tetragonal
DOS at the Fermi energy = 1.33 states/eV/atom
M_tot = 0.248 μB/atom
electronic total energy = -6.393 eV/atom
energy relative to the elements = 0.250 eV per atom



Record 12
This record from Alexandria describes a relaxed structure of CdCo2Ru2. The functional is PBE-GGA.

Cell lengths 7.312, 7.312, 2.679 Å; angles 90.00, 90.00, 90.00 degrees
Positions (direct):
Cd 0.000 0.000 0.000
Cd 0.500 0.500 0.000
Co 0.167 0.333 0.500
Co 0.333 0.833 0.500
Co 0.667 0.167 0.500
Co 0.833 0.667 0.500
Ru 0.125 0.625 0.000
Ru 0.375 0.125 0.000
Ru 0.625 0.875 0.000
Ru 0.875 0.375 0.000

Computed properties:
crystal system = tetragonal
DOS at the Fermi energy = 1.24 states/eV/atom
M_tot = 0.624 μB/atom
electronic total energy = -6.375 eV/atom
energy relative to the elements = 0.361 eV per atom



Calculated calculated volume (Å³/atom), listed in the same order as above: 13.090; 18.884; 23.801; 24.833; 16.007; 15.417; 19.929; 14.623; 14.874; 14.148; 14.585; 14.326